Here is an optimized crystal structure of Li2Ac2AlS6 from the Alexandria database. Energies are from GGA-PBE.

Lattice parameters (Å, degrees): 6.9828 6.9828 17.6354 90.00 90.00 120.00
Space group R-3m (No. 166, hexagonal axes)
Symmetry-distinct sites (fractional):
Li (0.0000, 0.0000, 0.0721)
Ac (0.0000, 0.0000, 0.2818)
Al (0.0000, 0.0000, 0.5000)
S (0.0288, 0.5144, 0.2517)

- total magnetic moment (μB/cell) = 0.00
- E_form (uncorrected) (eV per formula unit) = -14.10
- crystal system = trigonal
- N(E_F) (states/eV/atom) = 0.7364